No. 1
An optimized crystal structure of RbI2O7. Source: Alexandria, functional PBE.

Lattice parameters (Å, degrees): 6.2255 10.9909 3.9753 90.00 90.00 90.00
With the nearest neighbours (Å) after each atom.
Space group Cmmm (No. 65)
Symmetry-distinct sites (fractional):
Rb  0.0000  0.0000  0.0000 [2 per cell]  8 O 2.81
I  0.0000  0.3101  0.5000 [4 per cell]  7 O 1.99-2.13
O  0.0000  0.3085  0.0000 [4 per cell]  2 I 1.99
O  0.0000  0.5000  0.5000 [2 per cell]  2 I 2.09
O  0.1854  0.1470  0.5000 [8 per cell]  2 I 2.01-2.13

Output
**DFT total energy**: -4.08 eV per atom
**Formation energy from raw total energies**: -198 meV/atom

***

No. 2
An optimized crystal structure of Sc2B2IrRh5. Source: Alexandria, functional PBE.

Lattice parameters (Å, degrees): 9.3443 9.3443 3.1457 90.00 90.00 90.00
With the nearest neighbours (Å) after each atom.
Space group P4/mbm (No. 127)
Symmetry-distinct sites (fractional):
Sc  0.1771  0.3229  0.0000 [4 per cell]  3 B 2.64-2.85, 6 Rh 2.82-2.85
B  0.1234  0.6234  0.0000 [4 per cell]  6 Rh 2.18-2.27
Ir  0.0000  0.0000  0.0000 [2 per cell]  8 Rh 2.70
Rh  0.0000  0.5000  0.5000 [2 per cell]  4 B 2.27
Rh  0.0722  0.7771  0.5000 [8 per cell]  2 B 2.18

Output
**DFT total energy**: -7.79 eV per atom
**Energy relative to the elements**: -624 meV per atom

***

No. 3
An optimized crystal structure of Nd8Al2Ge. Source: Alexandria, functional PBE.

Lattice parameters (Å, degrees): 19.0941 5.1760 7.0012 90.00 105.71 90.00
With the nearest neighbours (Å) after each atom.
Space group C2/m (No. 12)
Symmetry-distinct sites (fractional):
Nd  0.0154  0.0000  0.2719 [4 per cell]  2 Ge 3.10, 1 Al 3.22, 3 Nd 3.40-3.45
Nd  0.0940  0.5000  0.9615 [4 per cell]  1 Ge 3.24, 2 Al 3.37, 3 Nd 3.45
Nd  0.1567  0.5000  0.4730 [4 per cell]  1 Ge 3.05, 3 Al 3.17-3.23
Nd  0.2109  0.0000  0.8067 [4 per cell]  3 Al 3.21-3.38, 3 Nd 3.45-3.59
Al  0.1799  0.0000  0.2348 [4 per cell]  9 Nd 3.17-3.38
Ge  0.0000  0.5000  0.5000 [2 per cell]  8 Nd 3.05-3.24

Output
**DFT total energy**: -4.81 eV per atom
**Energy relative to the elements**: -247 meV per atom

***

No. 4
An optimized crystal structure of Y2HfCr. Source: Alexandria, functional PBE.

Lattice parameters (Å, degrees): 7.3561 7.3561 7.3561 90.00 90.00 90.00
With the nearest neighbours (Å) after each atom.
Space group Fm-3m (No. 225)
Symmetry-distinct sites (fractional):
Y  0.2500  0.2500  0.2500 [8 per cell]  4 Cr 3.19, 4 Hf 3.19
Hf  0.0000  0.0000  0.0000 [4 per cell]  8 Y 3.19
Cr  0.0000  0.0000  0.5000 [4 per cell]  8 Y 3.19

Output
**DFT total energy**: -7.69 eV per atom
**Energy relative to the elements**: 434 meV per atom

***

No. 5
An optimized crystal structure of PaMnNi6. Source: Alexandria, functional PBE.

Lattice parameters (Å, degrees): 4.7218 4.7218 4.7218 90.00 90.00 90.00
With the nearest neighbours (Å) after each atom.
Space group Pm-3 (No. 200)
Symmetry-distinct sites (fractional):
Pa  0.0000  0.0000  0.0000 [1 per cell]  12 Ni 2.65
Mn  0.5000  0.5000  0.5000 [1 per cell]  12 Ni 2.63
Ni  0.0000  0.2555  0.5000 [6 per cell]  2 Ni 2.31-2.41

Output
**DFT total energy**: -6.79 eV per atom
**Energy relative to the elements**: -124 meV per atom

***

No. 6
An optimized crystal structure of RbMgRe3. Source: Alexandria, functional PBE.

Lattice parameters (Å, degrees): 4.7542 4.7542 4.7542 90.00 90.00 90.00
With the nearest neighbours (Å) after each atom.
Space group Pm-3m (No. 221)
Symmetry-distinct sites (fractional):
Rb  0.0000  0.0000  0.0000 [1 per cell]  6 Re 2.38
Mg  0.5000  0.5000  0.5000 [1 per cell]  12 Re 3.36
Re  0.0000  0.0000  0.5000 [3 per cell]  2 Rb 2.38

Output
**DFT total energy**: -4.17 eV per atom
**Energy relative to the elements**: 3813 meV per atom

***

No. 7
An optimized crystal structure of PrAs2Au2. Source: Alexandria, functional PBE.

Lattice parameters (Å, degrees): 4.1659 24.7663 4.1428 90.00 90.00 90.00
With the nearest neighbours (Å) after each atom.
Space group Cmcm (No. 63)
Symmetry-distinct sites (fractional):
Pr  0.0000  0.1547  0.2500 [4 per cell]  8 As 3.08-3.15, 2 Au 3.41
As  0.0000  0.2498  0.7500 [4 per cell]  4 As 2.94, 4 Pr 3.14-3.15
As  0.0000  0.3828  0.2500 [4 per cell]  4 Au 2.74-2.78
Au  0.0000  0.0452  0.7500 [4 per cell]  2 As 2.74, 8 Au 2.94-3.05
Au  0.0000  0.4579  0.7500 [4 per cell]  2 As 2.78, 8 Au 2.94-3.00

Output
**DFT total energy**: -4.72 eV per atom
**Energy relative to the elements**: -594 meV per atom

***

No. 8
An optimized crystal structure of SrReAg2. Source: Alexandria, functional PBE.

Lattice parameters (Å, degrees): 2.9848 2.9848 30.6992 90.00 90.00 120.00
With the nearest neighbours (Å) after each atom.
Space group R3m (No. 160, hexagonal axes)
Symmetry-distinct sites (fractional):
Sr  0.0000  0.0000  0.0000 [3 per cell]  6 Sr 2.98, 3 Re 3.20
Re  0.0000  0.0000  0.7544 [3 per cell]  3 Ag 2.87, 6 Re 2.98, 3 Sr 3.20
Ag  0.0000  0.0000  0.2400 [3 per cell]  9 Ag 2.94-2.98
Ag  0.0000  0.0000  0.4957 [3 per cell]  3 Re 2.87, 9 Ag 2.94-2.98

Output
**DFT total energy**: -4.13 eV per atom
**Energy relative to the elements**: 825 meV per atom

***

Q: Which value of DFT total energy does entry 1 give?
A: -4.08 eV per atom